Density functional theory data (GGA-PBE) for crystalline Mn2NiAg at its relaxed geometry.

a b c (Å): 4.8651 4.8651 4.5356
angles (deg): 75.34 75.34 34.44
Last column: nearest neighbours and their distance in Å.
Fractional coordinates of all 4 atoms:
1 Ag 0.7586 0.7586 0.7645  7 Mn 2.66-2.75, 2 Ni 2.75, 2 Ag 2.88
2 Mn 0.0007 0.0007 0.9849  4 Ni 2.62-2.76, 3 Ag 2.69-2.75, 5 Mn 2.86-2.88
3 Mn 0.2349 0.2349 0.2870  2 Ni 2.52, 4 Ag 2.66-2.73
4 Ni 0.5058 0.5058 0.4637  6 Mn 2.52-2.76, 2 Ag 2.75

Summary:
DFT formation energy: 0.2698 eV/atom

Density functional theory data (GGA-PBE) for crystalline Cd4CoSe at its relaxed geometry.

a b c (Å): 5.6815 5.6815 5.6815
angles (deg): 60.00 60.00 60.00
Last column: nearest neighbours and their distance in Å.
Fractional coordinates of all 6 atoms:
1 Cd 0.8740 0.3753 0.3753  6 Cd 2.83-2.85
2 Cd 0.3753 0.3753 0.8740  6 Cd 2.83-2.85
3 Cd 0.3753 0.8740 0.3753  6 Cd 2.83-2.85
4 Cd 0.3753 0.3753 0.3753  6 Cd 2.83-2.85
5 Co 0.7500 0.7500 0.7500  12 Cd 3.33, 4 Se 3.48
6 Se 0.0000 0.0000 0.0000  12 Cd 3.33, 4 Co 3.48

Summary:
ΔE_f (raw): 0.51 eV per atom

Density functional theory data (GGA-PBE) for crystalline Li2RuF at its relaxed geometry.

a b c (Å): 2.6734 2.6734 21.3797
angles (deg): 90.00 90.00 120.00
Last column: nearest neighbours and their distance in Å.
Fractional coordinates of all 12 atoms:
1 Li 0.0000 0.0000 0.2902  3 F 1.98
2 Li 0.3333 0.6667 0.9569  3 F 1.98
3 Li 0.6667 0.3333 0.6235  3 F 1.98
4 Li 0.0000 0.0000 0.4062  3 F 1.98
5 Li 0.3333 0.6667 0.0729  3 F 1.98
6 Li 0.6667 0.3333 0.7395  3 F 1.98
7 Ru 0.0000 0.0000 0.8479  6 Ru 2.67, 6 Li 2.78-2.79
8 Ru 0.3333 0.6667 0.5146  6 Ru 2.67, 6 Li 2.78-2.79
9 Ru 0.6667 0.3333 0.1813  6 Ru 2.67, 6 Li 2.78-2.79
10 F 0.0000 0.0000 0.0147  6 Li 1.98
11 F 0.3333 0.6667 0.6814  6 Li 1.98
12 F 0.6667 0.3333 0.3481  6 Li 1.98

Summary:
ΔE_f (raw): -1.30 eV per atom

Density functional theory data (GGA-PBE) for crystalline VZnH at its relaxed geometry.

a b c (Å): 2.8082 4.9358 4.4798
angles (deg): 90.00 90.00 89.97
Last column: nearest neighbours and their distance in Å.
Fractional coordinates of all 6 atoms:
1 H 0.0098 0.1441 0.8744  3 V 1.75
2 H 0.5099 0.6441 0.5981  3 V 1.75
3 Zn 0.5092 0.9808 0.2455  3 H 2.29-2.32
4 Zn 0.0092 0.4808 0.2274  3 H 2.29-2.32
5 V 0.0097 0.8106 0.7430  3 H 1.75
6 V 0.5097 0.3106 0.7298  3 H 1.75

Density functional theory data (GGA-PBE) for crystalline PbBr2 at its relaxed geometry.

a b c (Å): 7.1563 7.1563 13.5442
angles (deg): 90.00 90.00 120.00
Last column: nearest neighbours and their distance in Å.
Fractional coordinates of all 12 atoms:
1 Pb 0.3333 0.6667 0.8871  3 Br 2.82
2 Pb 0.6667 0.3333 0.3871  3 Br 2.82
3 Pb 0.6667 0.3333 0.1129  3 Br 2.82
4 Pb 0.3333 0.6667 0.6129  3 Br 2.82
5 Br 0.0000 0.0000 0.0000  6 Br 3.94, 6 Pb 4.41
6 Br 0.0000 0.0000 0.5000  6 Br 3.94, 6 Pb 4.41
7 Br 0.8374 0.6749 0.2500  2 Pb 2.82
8 Br 0.1626 0.3251 0.7500  2 Pb 2.82
9 Br 0.3251 0.1626 0.2500  2 Pb 2.82
10 Br 0.8374 0.1626 0.2500  2 Pb 2.82
11 Br 0.1626 0.8374 0.7500  2 Pb 2.82
12 Br 0.6749 0.8374 0.7500  2 Pb 2.82

Summary:
ΔE_f (raw): -0.56 eV per atom

Density functional theory data (GGA-PBE) for crystalline LaMgCo2 at its relaxed geometry.

a b c (Å): 4.4651 4.4651 5.3091
angles (deg): 65.14 65.14 60.04
Last column: nearest neighbours and their distance in Å.
Fractional coordinates of all 4 atoms:
1 Co 0.0730 0.0730 0.7814  1 La 2.47, 3 Mg 2.58, 3 Co 2.59-2.60
2 Co 0.4270 0.4270 0.7186  1 La 2.47, 3 Mg 2.58, 3 Co 2.59-2.60
3 La 0.2500 0.2500 0.2500  2 Co 2.47
4 Mg 0.7500 0.7500 0.7500  6 Co 2.58

Summary:
DFT formation energy: 0.0296 eV/atom

Density functional theory data (GGA-PBE) for crystalline ZrTa3Ga at its relaxed geometry.

a b c (Å): 4.7707 4.7707 4.7707
angles (deg): 90.00 90.00 90.00
Last column: nearest neighbours and their distance in Å.
Fractional coordinates of all 5 atoms:
1 Ga 0.0000 0.0000 0.0000  6 Ta 2.39
2 Zr 0.5000 0.5000 0.5000  12 Ta 3.37
3 Ta 0.0000 0.5000 0.0000  2 Ga 2.39
4 Ta 0.0000 0.0000 0.5000  2 Ga 2.39
5 Ta 0.5000 0.0000 0.0000  2 Ga 2.39

Summary:
DFT formation energy: 0.9537 eV/atom

Density functional theory data (GGA-PBE) for crystalline Mn2FeRu at its relaxed geometry.

a b c (Å): 2.8905 2.8905 5.8849
angles (deg): 90.00 90.00 90.00
Last column: nearest neighbours and their distance in Å.
Fractional coordinates of all 4 atoms:
1 Ru 0.5000 0.5000 0.2500  8 Mn 2.58
2 Mn 0.0000 0.0000 0.9836  4 Fe 2.46, 4 Ru 2.58, 1 Mn 2.75
3 Mn 0.0000 0.0000 0.5164  4 Fe 2.46, 4 Ru 2.58, 1 Mn 2.75
4 Fe 0.5000 0.5000 0.7500  8 Mn 2.46

Summary:
DFT formation energy: 0.0891 eV/atom

| no. | raw total energy (eV/atom) | M_tot (μB per formula unit) | ρ (kg/m³) |
| --- | --- | --- | --- |
| 1 | -6.473 | 8.3 | 7841 |
| 2 | -1.864 | 1.4 | 7523 |
| 3 | -5.042 | 0.0 | 5043 |
| 4 | -4.631 | 0.0 | 6277 |
| 5 | -2.915 | 0.0 | 4058 |
| 6 | -5.154 | 0.7 | 5822 |
| 7 | -8.473 | 0.0 | 10763 |
| 8 | -8.930 | 6.2 | 9010 |